(1)
## LiSc2Mn (PBE)

Data for crystalline LiSc2Mn at its relaxed geometry.

```
data_LiSc2Mn
_chemical_formula_sum 'Li3 Sc6 Mn3'
_symmetry_space_group_name_H-M 'P 1'
_symmetry_Int_Tables_number 1
_cell_length_a 3.115
_cell_length_b 3.115
_cell_length_c 29.479
_cell_angle_alpha 90.00
_cell_angle_beta 90.00
_cell_angle_gamma 120.00
loop_
_symmetry_equiv_pos_as_xyz
'x,y,z'
loop_
_atom_site_label
_atom_site_type_symbol
_atom_site_fract_x
_atom_site_fract_y
_atom_site_fract_z
Li1 Li 0.000 0.000 0.000
Li2 Li 0.333 0.667 0.667
Li3 Li 0.667 0.333 0.333
Sc1 Sc 0.000 0.000 0.242
Sc2 Sc 0.000 0.000 0.484
Sc3 Sc 0.333 0.667 0.151
Sc4 Sc 0.333 0.667 0.909
Sc5 Sc 0.667 0.333 0.576
Sc6 Sc 0.667 0.333 0.818
Mn1 Mn 0.000 0.000 0.743
Mn2 Mn 0.333 0.667 0.410
Mn3 Mn 0.667 0.333 0.076
```

The value obtained for the energy is -5.66 eV per atom.

(2)
## RbClF (PBE)

Data for crystalline RbClF at its relaxed geometry.

```
data_RbClF
_chemical_formula_sum 'Rb4 Cl4 F4'
_symmetry_space_group_name_H-M 'P 1'
_symmetry_Int_Tables_number 1
_cell_length_a 12.374
_cell_length_b 5.595
_cell_length_c 4.669
_cell_angle_alpha 90.00
_cell_angle_beta 90.00
_cell_angle_gamma 90.00
loop_
_symmetry_equiv_pos_as_xyz
'x,y,z'
loop_
_atom_site_label
_atom_site_type_symbol
_atom_site_fract_x
_atom_site_fract_y
_atom_site_fract_z
Rb1 Rb 0.119 0.250 0.024
Rb2 Rb 0.381 0.750 0.524
Rb3 Rb 0.619 0.250 0.476
Rb4 Rb 0.881 0.750 0.976
Cl1 Cl 0.113 0.750 0.496
Cl2 Cl 0.387 0.250 0.996
Cl3 Cl 0.613 0.750 0.004
Cl4 Cl 0.887 0.250 0.504
F1 F 0.113 0.750 0.996
F2 F 0.387 0.250 0.496
F3 F 0.613 0.750 0.504
F4 F 0.887 0.250 0.004
```

The value obtained for the energy is -3.16 eV per atom.

(3)
## DyTmPuTl (PBE)

Data for crystalline DyTmPuTl at its relaxed geometry.

```
data_DyTmPuTl
_chemical_formula_sum 'Dy4 Tm4 Pu4 Tl4'
_symmetry_space_group_name_H-M 'P 1'
_symmetry_Int_Tables_number 1
_cell_length_a 7.671
_cell_length_b 7.671
_cell_length_c 7.671
_cell_angle_alpha 90.00
_cell_angle_beta 90.00
_cell_angle_gamma 90.00
loop_
_symmetry_equiv_pos_as_xyz
'x,y,z'
loop_
_atom_site_label
_atom_site_type_symbol
_atom_site_fract_x
_atom_site_fract_y
_atom_site_fract_z
Dy1 Dy 0.000 0.000 0.000
Dy2 Dy 0.000 0.500 0.500
Dy3 Dy 0.500 0.000 0.500
Dy4 Dy 0.500 0.500 0.000
Tm1 Tm 0.250 0.250 0.250
Tm2 Tm 0.250 0.750 0.750
Tm3 Tm 0.750 0.250 0.750
Tm4 Tm 0.750 0.750 0.250
Pu1 Pu 0.000 0.000 0.500
Pu2 Pu 0.000 0.500 0.000
Pu3 Pu 0.500 0.000 0.000
Pu4 Pu 0.500 0.500 0.500
Tl1 Tl 0.250 0.250 0.750
Tl2 Tl 0.250 0.750 0.250
Tl3 Tl 0.750 0.250 0.250
Tl4 Tl 0.750 0.750 0.750
```

The value obtained for the energy is -6.38 eV per atom.

(4)
## BaNb2S7 (PBE)

Data for crystalline BaNb2S7 at its relaxed geometry.

```
data_BaNb2S7
_chemical_formula_sum 'Ba1 Nb2 S7'
_symmetry_space_group_name_H-M 'P 1'
_symmetry_Int_Tables_number 1
_cell_length_a 7.393
_cell_length_b 7.393
_cell_length_c 4.835
_cell_angle_alpha 90.00
_cell_angle_beta 90.00
_cell_angle_gamma 118.47
loop_
_symmetry_equiv_pos_as_xyz
'x,y,z'
loop_
_atom_site_label
_atom_site_type_symbol
_atom_site_fract_x
_atom_site_fract_y
_atom_site_fract_z
Ba1 Ba 0.000 0.000 0.000
Nb1 Nb 0.301 0.699 0.500
Nb2 Nb 0.699 0.301 0.500
S1 S 0.058 0.321 0.500
S2 S 0.290 0.710 0.000
S3 S 0.321 0.058 0.500
S4 S 0.500 0.500 0.500
S5 S 0.679 0.942 0.500
S6 S 0.710 0.290 0.000
S7 S 0.942 0.679 0.500
```

The value obtained for the energy is -5.90 eV per atom.

(5)
## TeP2 (PBE)

Data for crystalline TeP2 at its relaxed geometry.

```
data_TeP2
_chemical_formula_sum 'Te2 P4'
_symmetry_space_group_name_H-M 'P 1'
_symmetry_Int_Tables_number 1
_cell_length_a 4.902
_cell_length_b 4.902
_cell_length_c 5.598
_cell_angle_alpha 90.00
_cell_angle_beta 90.00
_cell_angle_gamma 120.00
loop_
_symmetry_equiv_pos_as_xyz
'x,y,z'
loop_
_atom_site_label
_atom_site_type_symbol
_atom_site_fract_x
_atom_site_fract_y
_atom_site_fract_z
Te1 Te 0.333 0.667 0.250
Te2 Te 0.667 0.333 0.750
P1 P 0.000 0.000 0.000
P2 P 0.000 0.000 0.500
P3 P 0.333 0.667 0.750
P4 P 0.667 0.333 0.250
```

The value obtained for the energy is -3.87 eV per atom.

(6)
## Pr5Er4In (PBE)

Data for crystalline Pr5Er4In at its relaxed geometry.

```
data_Pr5Er4In
_chemical_formula_sum 'Pr5 Er4 In1'
_symmetry_space_group_name_H-M 'P 1'
_symmetry_Int_Tables_number 1
_cell_length_a 8.122
_cell_length_b 8.122
_cell_length_c 8.122
_cell_angle_alpha 97.82
_cell_angle_beta 97.82
_cell_angle_gamma 136.72
loop_
_symmetry_equiv_pos_as_xyz
'x,y,z'
loop_
_atom_site_label
_atom_site_type_symbol
_atom_site_fract_x
_atom_site_fract_y
_atom_site_fract_z
Pr1 Pr 0.000 0.000 0.000
Pr2 Pr 0.091 0.091 0.623
Pr3 Pr 0.091 0.468 0.000
Pr4 Pr 0.468 0.091 0.000
Pr5 Pr 0.468 0.468 0.377
Er1 Er 0.108 0.787 0.321
Er2 Er 0.466 0.787 0.679
Er3 Er 0.787 0.108 0.321
Er4 Er 0.787 0.466 0.679
In1 In 0.520 0.520 0.000
```

The calculation puts the energy above the most stable polymorph in this dataset at 0.180 eV/atom.

(7)
## ZnAg2Ru (PBE)

Data for crystalline ZnAg2Ru at its relaxed geometry.

```
data_ZnAg2Ru
_chemical_formula_sum 'Zn2 Ag4 Ru2'
_symmetry_space_group_name_H-M 'P 1'
_symmetry_Int_Tables_number 1
_cell_length_a 2.807
_cell_length_b 4.813
_cell_length_c 9.476
_cell_angle_alpha 90.00
_cell_angle_beta 90.00
_cell_angle_gamma 90.00
loop_
_symmetry_equiv_pos_as_xyz
'x,y,z'
loop_
_atom_site_label
_atom_site_type_symbol
_atom_site_fract_x
_atom_site_fract_y
_atom_site_fract_z
Zn1 Zn 0.000 0.000 0.000
Zn2 Zn 0.500 0.500 0.500
Ag1 Ag 0.000 0.000 0.493
Ag2 Ag 0.000 0.500 0.257
Ag3 Ag 0.500 0.000 0.757
Ag4 Ag 0.500 0.500 0.993
Ru1 Ru 0.000 0.500 0.730
Ru2 Ru 0.500 0.000 0.230
```

The value obtained for the energy is -3.75 eV per atom.

(8)
## CeHgI6 (PBE)

Data for crystalline CeHgI6 at its relaxed geometry.

```
data_CeHgI6
_chemical_formula_sum 'Ce1 Hg1 I6'
_symmetry_space_group_name_H-M 'P 1'
_symmetry_Int_Tables_number 1
_cell_length_a 7.573
_cell_length_b 7.573
_cell_length_c 8.191
_cell_angle_alpha 117.45
_cell_angle_beta 90.07
_cell_angle_gamma 119.88
loop_
_symmetry_equiv_pos_as_xyz
'x,y,z'
loop_
_atom_site_label
_atom_site_type_symbol
_atom_site_fract_x
_atom_site_fract_y
_atom_site_fract_z
Ce1 Ce 0.000 0.000 0.000
Hg1 Hg 0.500 0.000 0.500
I1 I 0.084 0.496 0.249
I2 I 0.247 0.163 0.751
I3 I 0.413 0.165 0.250
I4 I 0.587 0.835 0.750
I5 I 0.753 0.837 0.249
I6 I 0.916 0.504 0.751
```

The calculation puts the energy above the most stable polymorph in this dataset at 0.044 eV/atom.

(9)
## Tl3TePb (PBE)

Data for crystalline Tl3TePb at its relaxed geometry.

```
data_Tl3TePb
_chemical_formula_sum 'Tl3 Te1 Pb1'
_symmetry_space_group_name_H-M 'P 1'
_symmetry_Int_Tables_number 1
_cell_length_a 5.958
_cell_length_b 5.958
_cell_length_c 5.958
_cell_angle_alpha 90.00
_cell_angle_beta 90.00
_cell_angle_gamma 90.00
loop_
_symmetry_equiv_pos_as_xyz
'x,y,z'
loop_
_atom_site_label
_atom_site_type_symbol
_atom_site_fract_x
_atom_site_fract_y
_atom_site_fract_z
Tl1 Tl 0.000 0.000 0.500
Tl2 Tl 0.000 0.500 0.000
Tl3 Tl 0.500 0.000 0.000
Te1 Te 0.500 0.500 0.500
Pb1 Pb 0.000 0.000 0.000
```

The calculation puts the energy above the most stable polymorph in this dataset at 0.000 eV/atom.

(10)
## CaBi2F11 (PBE)

Data for crystalline CaBi2F11 at its relaxed geometry.

```
data_CaBi2F11
_chemical_formula_sum 'Ca2 Bi4 F22'
_symmetry_space_group_name_H-M 'P 1'
_symmetry_Int_Tables_number 1
_cell_length_a 8.577
_cell_length_b 8.577
_cell_length_c 8.577
_cell_angle_alpha 122.85
_cell_angle_beta 106.13
_cell_angle_gamma 100.36
loop_
_symmetry_equiv_pos_as_xyz
'x,y,z'
loop_
_atom_site_label
_atom_site_type_symbol
_atom_site_fract_x
_atom_site_fract_y
_atom_site_fract_z
Ca1 Ca 0.250 0.250 0.000
Ca2 Ca 0.750 0.750 0.000
Bi1 Bi 0.182 0.644 0.825
Bi2 Bi 0.318 0.144 0.462
Bi3 Bi 0.682 0.856 0.538
Bi4 Bi 0.818 0.356 0.175
F1 F 0.000 0.500 0.500
F2 F 0.043 0.962 0.285
F3 F 0.062 0.368 0.162
F4 F 0.177 0.462 0.919
F5 F 0.206 0.900 0.838
F6 F 0.215 0.372 0.587
F7 F 0.285 0.872 0.158
F8 F 0.294 0.132 0.694
F9 F 0.323 0.242 0.285
F10 F 0.438 0.600 0.306
F11 F 0.457 0.742 0.919
F12 F 0.500 0.000 0.500
F13 F 0.543 0.258 0.081
F14 F 0.562 0.400 0.694
F15 F 0.677 0.758 0.715
F16 F 0.706 0.868 0.306
F17 F 0.715 0.128 0.842
F18 F 0.785 0.628 0.413
F19 F 0.794 0.100 0.162
F20 F 0.823 0.538 0.081
F21 F 0.938 0.632 0.838
F22 F 0.957 0.038 0.715
```

The value obtained for the energy is -4.51 eV per atom.

(11)
## TbZn4Ni2 (PBE)

Data for crystalline TbZn4Ni2 at its relaxed geometry.

```
data_TbZn4Ni2
_chemical_formula_sum 'Tb2 Zn8 Ni4'
_symmetry_space_group_name_H-M 'P 1'
_symmetry_Int_Tables_number 1
_cell_length_a 7.335
_cell_length_b 7.335
_cell_length_c 4.049
_cell_angle_alpha 90.00
_cell_angle_beta 90.00
_cell_angle_gamma 90.00
loop_
_symmetry_equiv_pos_as_xyz
'x,y,z'
loop_
_atom_site_label
_atom_site_type_symbol
_atom_site_fract_x
_atom_site_fract_y
_atom_site_fract_z
Tb1 Tb 0.000 0.000 0.000
Tb2 Tb 0.500 0.500 0.500
Zn1 Zn 0.094 0.345 0.500
Zn2 Zn 0.155 0.594 0.000
Zn3 Zn 0.345 0.094 0.500
Zn4 Zn 0.406 0.845 0.000
Zn5 Zn 0.594 0.155 0.000
Zn6 Zn 0.655 0.906 0.500
Zn7 Zn 0.845 0.406 0.000
Zn8 Zn 0.906 0.655 0.500
Ni1 Ni 0.220 0.780 0.500
Ni2 Ni 0.280 0.280 0.000
Ni3 Ni 0.720 0.720 0.000
Ni4 Ni 0.780 0.220 0.500
```

The calculation puts the energy above the most stable polymorph in this dataset at 0.000 eV/atom.

(12)
## ZrAg2W (PBE)

Data for crystalline ZrAg2W at its relaxed geometry.

```
data_ZrAg2W
_chemical_formula_sum 'Zr2 Ag4 W2'
_symmetry_space_group_name_H-M 'P 1'
_symmetry_Int_Tables_number 1
_cell_length_a 5.581
_cell_length_b 9.925
_cell_length_c 2.753
_cell_angle_alpha 90.00
_cell_angle_beta 107.49
_cell_angle_gamma 90.00
loop_
_symmetry_equiv_pos_as_xyz
'x,y,z'
loop_
_atom_site_label
_atom_site_type_symbol
_atom_site_fract_x
_atom_site_fract_y
_atom_site_fract_z
Zr1 Zr 0.000 0.000 0.000
Zr2 Zr 0.500 0.500 0.000
Ag1 Ag 0.250 0.250 0.500
Ag2 Ag 0.250 0.750 0.500
Ag3 Ag 0.750 0.250 0.500
Ag4 Ag 0.750 0.750 0.500
W1 W 0.000 0.500 0.000
W2 W 0.500 0.000 0.000
```

The value obtained for the energy is -6.42 eV per atom.